# Cd2Pt5Rh (PBE, relaxed)
# - Energy: -81.309 eV for the cell shown
# - Density: 16602 kg/m³
# - ΔH_f (0 K): -15 kJ/mol of atoms
# - Crystal system: orthorhombic
data_Cd2Pt5Rh
_chemical_formula_sum 'Cd4 Pt10 Rh2'
_symmetry_space_group_name_H-M 'P b a m'
_symmetry_Int_Tables_number 55
_cell_length_a 5.719
_cell_length_b 11.443
_cell_length_c 3.983
_cell_angle_alpha 90.00
_cell_angle_beta 90.00
_cell_angle_gamma 90.00
loop_
_symmetry_equiv_pos_as_xyz
'x,y,z'
'-x,-y,-z'
'-x,-y,z'
'x,y,-z'
'x+1/2,-y+1/2,-z'
'-x+1/2,y+1/2,z'
'-x+1/2,y+1/2,-z'
'x+1/2,-y+1/2,z'
loop_
_atom_site_label
_atom_site_type_symbol
_atom_site_fract_x
_atom_site_fract_y
_atom_site_fract_z
Cd1 Cd 0.246 0.125 0.000
Pt1 Pt 0.000 0.500 0.500
Pt2 Pt 0.006 0.752 0.500
Pt3 Pt 0.248 0.377 0.000
Rh1 Rh 0.000 0.000 0.500